Entry 1:
The following is a DFT calculation (PBE-GGA) of crystalline Te2SeCl at its relaxed geometry.

Results
offset from the most stable computed form	0	meV per atom
uncorrected energy	-3.05	eV/atom
ρ	3.5	g cm⁻³

abc: 5.9108 7.9763 8.7137
angles: 65.77 78.04 69.66
Closest atoms and distances in Å follow each position.
Space group P1 (No. 1)
Asymmetric unit:
1 Te 0.0000 0.0000 0.0000 x1  1 Cl 2.55, 1 Te 2.82
2 Te 0.0078 0.3448 0.2918 x1  2 Se 2.55-2.68
3 Te 0.5200 0.1125 0.1874 x1  1 Cl 2.69, 1 Se 2.69, 1 Te 3.01
4 Te 0.6515 0.1781 0.7603 x1  1 Se 2.58, 1 Te 2.82
5 Se 0.7827 0.3623 0.0460 x1  3 Te 2.68-2.88
6 Se 0.9078 0.0537 0.5288 x1  2 Te 2.55-2.58
7 Cl 0.1343 0.6806 0.9572 x1  1 Te 2.55
8 Cl 0.3285 0.8211 0.2849 x1  1 Te 2.69


Entry 2:
The following is a DFT calculation (PBE-GGA) of crystalline TbTh2ScSe4 at its relaxed geometry.

Results
uncorrected energy	-6.56	eV/atom
ρ	8.4	g cm⁻³

abc: 6.8665 3.9984 7.4686
angles: 90.00 108.15 90.00
Closest atoms and distances in Å follow each position.
Space group P2/m (No. 10)
Asymmetric unit:
1 Tb 0.0000 0.0000 0.0000 x1  6 Se 2.84
2 Th 0.0000 0.5000 0.5000 x1  6 Se 3.04
3 Th 0.5000 0.0000 0.5000 x1  6 Se 2.97-2.98
4 Sc 0.5000 0.5000 0.0000 x1  6 Se 2.77
5 Se 0.2520 0.5000 0.2293 x2  1 Sc 2.77, 2 Tb 2.84, 3 Th 2.97-3.04
6 Se 0.2669 0.0000 0.7757 x2  2 Sc 2.77, 1 Tb 2.84, 3 Th 2.98-3.04


Entry 3:
The following is a DFT calculation (PBE-GGA) of crystalline BeAl2As at its relaxed geometry.

Results
offset from the most stable computed form	151	meV per atom
uncorrected energy	-3.74	eV/atom
ΔE_f	22	kJ/mol of atoms
ρ	3.6	g cm⁻³

abc: 2.8135 3.5096 6.3940
angles: 90.00 90.00 90.00
Closest atoms and distances in Å follow each position.
Space group Pmm2 (No. 25)
Asymmetric unit:
1 Be 0.0000 0.0000 0.0000 x1  4 As 2.52, 4 Al 2.69, 2 Be 2.81
2 Al 0.0000 0.0000 0.4800 x1  6 Al 2.76-2.81, 1 Be 3.07
3 Al 0.5000 0.5000 0.2296 x1  1 As 2.60, 4 Be 2.69, 6 Al 2.76-2.81
4 As 0.5000 0.5000 0.8225 x1  4 Be 2.52, 1 Al 2.60, 2 As 2.81